Entry 1:
Below is a relaxed NaU2Se4 crystal, with properties calculated at the GGA-PBE level.

Its offset from the most stable computed form is 0 meV per atom. For the calculated total energy, the calculation gives -6.582 eV per atom. The calculation puts the calculated volume at 204.1 Å³/f.u. As for the uncorrected formation energy: -1.177 eV/atom.

The structure belongs to space group Imma (No. 74); the cell edges are 8.316, 8.364 and 11.738 Å and the angles 90.00°, 90.00° and 90.00°. The distinct sites, in fractional coordinates, are Na at (0.250, 0.250, 0.250), U at (0.000, 0.000, 0.000), U at (0.250, 0.250, 0.750), Se at (0.000, 0.012, 0.755) and Se at (0.235, 0.250, 0.993).

=====

Entry 2:
Below is a relaxed Ac8CoPt3I4 crystal, with properties calculated at the GGA-PBE level.

For the calculated total energy, the calculation gives -5.094 eV per atom. The calculation puts the calculated volume at 586.8 Å³/f.u. As for the uncorrected formation energy: -1.075 eV/atom.

The structure belongs to space group C2/m (No. 12); the cell edges are 15.355, 8.867 and 10.029 Å and the angles 90.00°, 120.75° and 90.00°. The distinct sites, in fractional coordinates, are Ac at (0.019, 0.242, 0.316), Ac at (0.223, 0.000, 0.684), Ac at (0.229, 0.500, 0.687), Co at (0.000, 0.000, 0.500), Pt at (0.000, 0.500, 0.500), Pt at (0.250, 0.250, 0.500), I at (0.000, 0.000, 0.000), I at (0.000, 0.500, 0.000) and I at (0.250, 0.250, 0.000).

=====

- What is the formula in the second record?
  Ac8CoPt3I4

=====

- uncorrected formation energy of number 1 (NaU2Se4)?
  -1.177 eV/atom

=====

Copy entry 1 word for word.
Below is a relaxed NaU2Se4 crystal, with properties calculated at the GGA-PBE level.

Its offset from the most stable computed form is 0 meV per atom. For the calculated total energy, the calculation gives -6.582 eV per atom. The calculation puts the calculated volume at 204.1 Å³/f.u. As for the uncorrected formation energy: -1.177 eV/atom.

The structure belongs to space group Imma (No. 74); the cell edges are 8.316, 8.364 and 11.738 Å and the angles 90.00°, 90.00° and 90.00°. The distinct sites, in fractional coordinates, are Na at (0.250, 0.250, 0.250), U at (0.000, 0.000, 0.000), U at (0.250, 0.250, 0.750), Se at (0.000, 0.012, 0.755) and Se at (0.235, 0.250, 0.993).